# K3Mn2F7, optimized geometry, DFT PBE+U
# Raw total energy in eV per cell: -128.2
# DOS(E_F) in states/eV/cell: 0.0
data_K3Mn2F7
_chemical_formula_sum 'K6 Mn4 F14'
_symmetry_space_group_name_H-M 'C m m m'
_symmetry_Int_Tables_number 65
_symmetry_space_group_name_Hall '-C 2 2'
_cell_length_a 4.301
_cell_length_b 22.037
_cell_length_c 4.170
_cell_angle_alpha 90.00
_cell_angle_beta 90.00
_cell_angle_gamma 90.00
loop_
_atom_site_label
_atom_site_fract_x
_atom_site_fract_y
_atom_site_fract_z
_atom_site_occupancy
K1 0.000 0.000 0.000 1
K2 0.000 0.184 0.000 1
Mn1 0.000 0.402 0.500 1
F1 0.000 0.096 0.500 1
F2 0.000 0.306 0.500 1
F3 0.000 0.403 0.000 1
F4 0.000 0.500 0.500 1